VASP calculation (PBE+U) on an optimized crystal structure of Dy2MnCoO6.

```
Dy2MnCoO6
1.0
5.2793 0.0000 0.0000
0.0000 5.6642 0.0000
-5.1685 0.0000 7.3773
Dy Mn Co O
4 2 2 12
direct
0.2289 0.0756 0.2496
0.2289 0.4244 0.7496
0.7711 0.5756 0.2504
0.7711 0.9244 0.7504
0.5000 0.0000 0.0000
0.5000 0.5000 0.5000
0.0000 0.0000 0.5000
0.0000 0.5000 0.0000
0.1345 0.2000 0.9482
0.1345 0.3000 0.4482
0.2464 0.6861 0.9467
0.2464 0.8139 0.4467
0.3569 0.0340 0.7501
0.3569 0.4660 0.2501
0.6431 0.5340 0.7499
0.6431 0.9660 0.2499
0.7536 0.1861 0.5533
0.7536 0.3139 0.0533
0.8655 0.7000 0.5518
0.8655 0.8000 0.0518
```

Calculated volume   11.03 A^3/atom
Uncorrected energy   -7.58 eV/atom
Space-group type   P2_1/c, No. 14